Below is a relaxed PmV3O9 crystal, with properties calculated at the GGA+U level.

- M_tot: 0.00 μB per formula unit
- Calculated total energy: -7.700 eV per atom
- Volume: 421.0 Å³/cell
- Mass density: 3485 kg/m3

a = 7.5246 Å, b = 7.5246 Å, c = 7.7454 Å
α = 90.00°, β = 90.00°, γ = 106.25°
Closest atoms and distances in Å follow each position.
Fractional positions:
Pm 0.1057 0.1057 0.0000  8 O 2.40-2.60
Pm 0.8943 0.8943 0.5000  8 O 2.40-2.60
V 0.2523 0.2523 0.5000  4 O 1.71-1.79
V 0.2932 0.6524 0.9686  4 O 1.68-1.81
V 0.3476 0.7068 0.5314  4 O 1.68-1.81
V 0.6524 0.2932 0.0314  4 O 1.68-1.81
V 0.7068 0.3476 0.4686  4 O 1.68-1.81
V 0.7477 0.7477 0.0000  4 O 1.71-1.79
O 0.1205 0.1581 0.6751  1 V 1.71
O 0.1581 0.1205 0.3249  1 V 1.71
O 0.1713 0.8074 0.9874  1 V 1.68
O 0.1805 0.4352 0.0327  1 V 1.69
O 0.1926 0.8287 0.5126  1 V 1.68
O 0.2582 0.4812 0.4325  2 V 1.79-1.81
O 0.3611 0.6389 0.7500  2 V 1.78
O 0.4352 0.1805 0.9673  1 V 1.69
O 0.4812 0.2582 0.5674  2 V 1.79-1.81
O 0.5188 0.7418 0.0674  2 V 1.79-1.81
O 0.5648 0.8195 0.4673  1 V 1.69
O 0.6389 0.3611 0.2500  2 V 1.78
O 0.7418 0.5188 0.9326  2 V 1.79-1.81
O 0.8074 0.1713 0.0126  1 V 1.68
O 0.8195 0.5648 0.5327  1 V 1.69
O 0.8287 0.1926 0.4874  1 V 1.68
O 0.8419 0.8795 0.8249  1 V 1.71
O 0.8795 0.8419 0.1751  1 V 1.71